Below is a PBEsol-optimized structure of Ag5Au, with properties calculated at the meta-GGA SCAN level.

Computed properties:
final energy	-37.704	eV per atom
offset from the most stable computed form	4	meV per atom
calculated volume	16.633	Å³ per atom
spin magnetization	0.00	μB per atom
Fermi-level density of states	1.32	states/eV/cell

CIF file:
```
data_Ag5Au
_chemical_formula_sum 'Ag5 Au1'
_cell_length_a 4.9348
_cell_length_b 4.9348
_cell_length_c 4.7319
_cell_angle_alpha 90.00
_cell_angle_beta 90.00
_cell_angle_gamma 120.00
_symmetry_space_group_name_H-M 'P -6 2 m'
_symmetry_Int_Tables_number 189
_symmetry_space_group_name_Hall 'P -6 -2'
loop_
_atom_site_label
_atom_site_type_symbol
_atom_site_fract_x
_atom_site_fract_y
_atom_site_fract_z
Ag1 Ag 0.0000 0.3322 0.0000
Ag2 Ag 0.3333 0.6667 0.5000
Au1 Au 0.0000 0.0000 0.5000
```